[1]
# SrYTa (PBE-GGA, relaxed)
data_SrYTa
_chemical_formula_sum 'Sr1 Y1 Ta1'
_cell_length_a 8.595
_cell_length_b 8.593
_cell_length_c 3.274
_cell_angle_alpha 79.05
_cell_angle_beta 78.99
_cell_angle_gamma 21.96
_space_group_name_H-M_alt 'P 1'
_space_group_IT_number 1
loop_
_space_group_symop_operation_xyz
'x,y,z'
loop_
_atom_site_label
_atom_site_type_symbol
_atom_site_fract_x
_atom_site_fract_y
_atom_site_fract_z
Sr1 Sr 0.000 0.000 0.000
Y1 Y 0.710 0.710 0.290
Ta1 Ta 0.338 0.338 0.662
# M_tot (μB per formula unit): 0.0
# Symmetry: No. 42
# ΔH_f (0 K) (eV/atom): 0.596


[2]
# SrYTa2 (PBE-GGA, relaxed)
data_SrYTa2
_chemical_formula_sum 'Sr1 Y1 Ta2'
_cell_length_a 5.611
_cell_length_b 5.611
_cell_length_c 6.561
_cell_angle_alpha 94.11
_cell_angle_beta 94.11
_cell_angle_gamma 32.49
_space_group_name_H-M_alt 'P 1'
_space_group_IT_number 1
loop_
_space_group_symop_operation_xyz
'x,y,z'
loop_
_atom_site_label
_atom_site_type_symbol
_atom_site_fract_x
_atom_site_fract_y
_atom_site_fract_z
Sr1 Sr 0.000 0.000 0.000
Y1 Y 0.500 0.500 0.500
Ta1 Ta 0.242 0.242 0.671
Ta2 Ta 0.758 0.758 0.329
# M_tot (μB per formula unit): 0.0
# Symmetry: No. 12
# ΔH_f (0 K) (eV/atom): 0.760


[3]
# SrYTa2 (PBE-GGA, relaxed)
data_SrYTa2
_chemical_formula_sum 'Sr1 Y1 Ta2'
_cell_length_a 6.062
_cell_length_b 6.062
_cell_length_c 6.062
_cell_angle_alpha 138.68
_cell_angle_beta 138.56
_cell_angle_gamma 59.96
_space_group_name_H-M_alt 'P 1'
_space_group_IT_number 1
loop_
_space_group_symop_operation_xyz
'x,y,z'
loop_
_atom_site_label
_atom_site_type_symbol
_atom_site_fract_x
_atom_site_fract_y
_atom_site_fract_z
Sr1 Sr 0.000 0.000 0.000
Y1 Y 0.500 0.500 0.000
Ta1 Ta 0.250 0.750 0.500
Ta2 Ta 0.750 0.250 0.500
# M_tot (μB per formula unit): 0.0
# Symmetry: No. 71
# ΔH_f (0 K) (eV/atom): 0.893


[4]
# SrYTa2 (PBE-GGA, relaxed)
data_SrYTa2
_chemical_formula_sum 'Sr1 Y1 Ta2'
_cell_length_a 4.293
_cell_length_b 4.293
_cell_length_c 5.239
_cell_angle_alpha 90.00
_cell_angle_beta 90.00
_cell_angle_gamma 90.00
_space_group_name_H-M_alt 'P 1'
_space_group_IT_number 1
loop_
_space_group_symop_operation_xyz
'x,y,z'
loop_
_atom_site_label
_atom_site_type_symbol
_atom_site_fract_x
_atom_site_fract_y
_atom_site_fract_z
Sr1 Sr 0.000 0.000 0.000
Y1 Y 0.500 0.500 0.000
Ta1 Ta 0.000 0.500 0.500
Ta2 Ta 0.500 0.000 0.500
# M_tot (μB per formula unit): 0.0
# Symmetry: No. 123
# ΔH_f (0 K) (eV/atom): 0.890